DFT (PBE with a Hubbard U) results for an optimized crystal structure of BaNaEuMnO6.

Structure (POSCAR):
```
BaNaEuMnO6
1.0
0.000 4.065 4.065
4.065 0.000 4.065
4.065 4.065 0.000
Na O Mn Eu Ba
1 6 1 1 1
Cartesian
4.065 4.065 4.065
1.880 4.065 4.065
4.065 4.065 1.880
4.065 4.065 6.249
4.065 6.249 4.065
6.249 4.065 4.065
4.065 1.880 4.065
0.000 0.000 0.000
2.032 2.032 2.032
6.097 6.097 6.097
```

Output
**E_tot**: -0.498 Ry/atom
**Size of the total moment**: 6.99 μB per cell